Entry 1:
TiBeAl2Cr: optimized geometry, PBEsol.

a = 4.1713 Å, b = 4.6025 Å, c = 4.6025 Å
α = 90.00°, β = 90.00°, γ = 90.00°
Last column: nearest neighbours and their distance in Å.
Positions (direct):
Be  0.5000  0.5000  0.5000  8 Al 3.11, 4 Ti 3.25
Al  0.0000  0.0000  0.5000  2 Cr 2.30
Al  0.0000  0.5000  0.0000  2 Cr 2.30
Cr  0.0000  0.0000  0.0000  2 Ti 2.09, 4 Al 2.30
Ti  0.5000  0.0000  0.0000  2 Cr 2.09

## Properties
The volume comes out at 88 Å³/cell. The value obtained for the energy of formation from the pure elements is 0.786 eV/atom. As for the space group: No. 123. The total moment comes out at 0.0 Bohr magnetons per cell.

***

Entry 2:
PrZnRh: optimized geometry, PBEsol.

a = 4.0965 Å, b = 7.0046 Å, c = 8.1410 Å
α = 90.00°, β = 90.00°, γ = 90.00°
Last column: nearest neighbours and their distance in Å.
Positions (direct):
Rh  0.7500  0.2384  0.1183  4 Zn 2.62-2.73
Rh  0.7500  0.7384  0.3817  4 Zn 2.62-2.73
Pr  0.2500  0.5350  0.1877  5 Rh 2.95-2.97, 5 Zn 3.13-3.23
Pr  0.7500  0.4650  0.8123  5 Rh 2.95-2.97, 5 Zn 3.13-3.23
Rh  0.2500  0.7616  0.8817  4 Zn 2.62-2.73
Pr  0.2500  0.0350  0.3123  5 Rh 2.95-2.97, 5 Zn 3.13-3.23
Zn  0.2500  0.1386  0.9365  4 Rh 2.62-2.73
Zn  0.7500  0.3614  0.4365  4 Rh 2.62-2.73
Pr  0.7500  0.9650  0.6877  5 Rh 2.95-2.97, 5 Zn 3.13-3.23
Rh  0.2500  0.2616  0.6183  4 Zn 2.62-2.73
Zn  0.2500  0.6386  0.5635  4 Rh 2.62-2.73
Zn  0.7500  0.8614  0.0635  4 Rh 2.62-2.73

## Properties
The volume comes out at 234 Å³/cell. The value obtained for the energy of formation from the pure elements is -0.587 eV/atom. As for the space group: No. 62. The total moment comes out at 0.0 Bohr magnetons per cell.

***

Entry 3:
TaCu3Cl: optimized geometry, PBEsol.

a = 4.7915 Å, b = 4.7915 Å, c = 4.7915 Å
α = 90.00°, β = 90.00°, γ = 90.00°
Last column: nearest neighbours and their distance in Å.
Positions (direct):
Cu  0.5000  0.0000  0.0000  2 Ta 2.40
Cu  0.0000  0.0000  0.5000  2 Ta 2.40
Cl  0.5000  0.5000  0.5000  12 Cu 3.39
Cu  0.0000  0.5000  0.0000  2 Ta 2.40
Ta  0.0000  0.0000  0.0000  6 Cu 2.40

## Properties
The formation energy (no corrections) is 775 kJ/mol of formula units. The volume comes out at 110 Å³/cell. As for the space group: No. 221. The total moment comes out at 0.0 Bohr magnetons per cell.

***

Entry 4:
Li2Cr3FeO8: optimized geometry, PBEsol.

a = 5.7037 Å, b = 5.7037 Å, c = 5.7037 Å
α = 60.77°, β = 60.77°, γ = 60.77°
Last column: nearest neighbours and their distance in Å.
Positions (direct):
Cr  0.5000  0.0000  0.5000  6 O 1.93-1.94
O  0.7350  0.2881  0.7350  1 Fe 1.91, 2 Cr 1.94, 1 Li 1.94
Cr  0.0000  0.5000  0.5000  6 O 1.93-1.94
O  0.2627  0.2627  0.2627  1 Li 1.91, 3 Cr 1.93
O  0.2650  0.2650  0.7119  1 Fe 1.91, 2 Cr 1.94, 1 Li 1.94
Li  0.8745  0.8745  0.8745  4 O 1.91-1.94
Li  0.1255  0.1255  0.1255  4 O 1.91-1.94
Cr  0.5000  0.5000  0.0000  6 O 1.93-1.94
O  0.7373  0.7373  0.7373  1 Li 1.91, 3 Cr 1.93
O  0.7350  0.7350  0.2881  1 Fe 1.91, 2 Cr 1.94, 1 Li 1.94
O  0.2650  0.7119  0.2650  1 Fe 1.91, 2 Cr 1.94, 1 Li 1.94
Fe  0.5000  0.5000  0.5000  6 O 1.91
O  0.7119  0.2650  0.2650  1 Fe 1.91, 2 Cr 1.94, 1 Li 1.94
O  0.2881  0.7350  0.7350  1 Fe 1.91, 2 Cr 1.94, 1 Li 1.94

## Properties
The formation energy (no corrections) is -2528 kJ/mol of formula units. The volume comes out at 133 Å³/cell. As for the space group: No. 166. The total moment comes out at 9.2 Bohr magnetons per cell.